Entry from Alexandria: a geometry-optimized YMgGaPd2 structure (PBEsol).

a b c (Å): 4.564 4.564 5.448
angles (deg): 90.00 90.00 90.00
Atoms (fractional coordinates):
Mg 0.000 0.000 0.000
Pd 0.500 0.000 0.000
Pd 0.000 0.500 0.000
Y 0.000 0.000 0.500
Ga 0.500 0.500 0.500

## Properties
As for the crystal system: tetragonal. The formation energy comes out at 470.8 meV/atom.



Entry from Alexandria: a geometry-optimized Tl2HgSb structure (PBEsol).

a b c (Å): 3.311 6.256 5.731
angles (deg): 107.11 90.00 105.35
Atoms (fractional coordinates):
Sb 0.769 0.539 0.214
Tl 0.230 0.459 0.691
Tl 0.015 0.031 0.050
Hg 0.486 0.971 0.545

## Properties
Its excess energy over the best structure of this formula in the dataset is 37 meV/atom. As for the crystal system: monoclinic. The uncorrected formation energy is 0.033 eV per atom.



Entry from Alexandria: a geometry-optimized LaSc2 structure (PBEsol).

a b c (Å): 3.369 3.369 16.297
angles (deg): 90.00 90.00 120.00
Atoms (fractional coordinates):
Sc 0.667 0.333 0.577
Sc 0.333 0.667 0.729
Sc 0.667 0.333 0.271
Sc 0.333 0.667 0.423
La 0.333 0.667 0.100
La 0.667 0.333 0.900

## Properties
Its excess energy over the best structure of this formula in the dataset is 0 meV/atom. As for the crystal system: trigonal. The formation energy comes out at 56.6 meV/atom.